Record 1
# NbCr3Ag2S8 (PBE-GGA, optimized geometry)
data_NbCr3Ag2S8
_chemical_formula_sum 'Nb1 Cr3 Ag2 S8'
_cell_length_a 7.2012
_cell_length_b 7.2012
_cell_length_c 7.2508
_cell_angle_alpha 60.92
_cell_angle_beta 60.92
_cell_angle_gamma 61.14
_symmetry_space_group_name_H-M 'P 1'
_symmetry_Int_Tables_number 1
loop_
_symmetry_equiv_pos_as_xyz
'x,y,z'
loop_
_atom_site_label
_atom_site_type_symbol
_atom_site_fract_x
_atom_site_fract_y
_atom_site_fract_z
_atom_site_occupancy
Nb1 Nb 0.6584 0.3416 0.5000 1
Cr1 Cr 0.6131 0.3869 0.0000 1
Cr2 Cr 0.6181 0.8852 0.5030 1
Cr3 Cr 0.1148 0.3819 0.4970 1
Ag1 Ag 0.0076 0.7332 0.8774 1
Ag2 Ag 0.2668 0.9924 0.1226 1
S1 S 0.3858 0.1467 0.2681 1
S2 S 0.8460 0.1387 0.2457 1
S3 S 0.3731 0.1486 0.7098 1
S4 S 0.3816 0.5814 0.2680 1
S5 S 0.8533 0.6142 0.7319 1
S6 S 0.8613 0.1540 0.7543 1
S7 S 0.8514 0.6269 0.2902 1
S8 S 0.4186 0.6184 0.7320 1
# volume: 272 Å³/cell
# M_tot: 9.00 μB per formula unit
# formation energy from raw total energies: -608 meV/atom
# energy relative to the lowest polymorph listed for this composition: 0.005 eV/atom



Record 2
# Nb2CrAgSe (PBE-GGA, optimized geometry)
data_Nb2CrAgSe
_chemical_formula_sum 'Nb2 Cr1 Ag1 Se1'
_cell_length_a 4.5701
_cell_length_b 4.9046
_cell_length_c 4.5701
_cell_angle_alpha 90.00
_cell_angle_beta 90.00
_cell_angle_gamma 90.00
_symmetry_space_group_name_H-M 'P 1'
_symmetry_Int_Tables_number 1
loop_
_symmetry_equiv_pos_as_xyz
'x,y,z'
loop_
_atom_site_label
_atom_site_type_symbol
_atom_site_fract_x
_atom_site_fract_y
_atom_site_fract_z
_atom_site_occupancy
Cr1 Cr 0.0000 0.0000 0.0000 1
Nb1 Nb 0.0000 0.0000 0.5000 1
Nb2 Nb 0.5000 0.0000 0.0000 1
Se1 Se 0.5000 0.5000 0.5000 1
Ag1 Ag 0.0000 0.5000 0.0000 1
# volume: 102 Å³/cell
# M_tot: 0.00 μB per formula unit
# formation energy from raw total energies: 963 meV/atom



Record 3
# TaNb2CrAg (PBE-GGA, optimized geometry)
data_TaNb2CrAg
_chemical_formula_sum 'Ta1 Nb2 Cr1 Ag1'
_cell_length_a 4.8061
_cell_length_b 5.0370
_cell_length_c 4.8061
_cell_angle_alpha 90.00
_cell_angle_beta 90.00
_cell_angle_gamma 90.00
_symmetry_space_group_name_H-M 'P 1'
_symmetry_Int_Tables_number 1
loop_
_symmetry_equiv_pos_as_xyz
'x,y,z'
loop_
_atom_site_label
_atom_site_type_symbol
_atom_site_fract_x
_atom_site_fract_y
_atom_site_fract_z
_atom_site_occupancy
Cr1 Cr 0.5000 0.5000 0.5000 1
Nb1 Nb 0.0000 0.0000 0.5000 1
Nb2 Nb 0.5000 0.0000 0.0000 1
Ag1 Ag 0.0000 0.5000 0.0000 1
Ta1 Ta 0.0000 0.0000 0.0000 1
# calculated formation energy: 1980 meV per atom
# volume: 116 Å³/cell
# M_tot: 0.05 μB per formula unit